Here is a relaxed structure of AgBiF3 from Alexandria. Energies are from PBE-GGA.

Properties
ΔE to the lowest computed polymorph in eV/atom: 0.507
Size of the total moment in Bohr magnetons per cell: 0.000
E_form (uncorrected) in eV/atom: -0.970

abc: 4.4393 4.4393 4.4393
angles: 90.00 90.00 90.00
Last column: nearest neighbours and their distance in Å.
Space group Pm-3m (No. 221)
Inequivalent atoms, fractional coordinates:
Ag: 0.0000 0.0000 0.0000 (multiplicity 1)  6 F 2.22
Bi: 0.5000 0.5000 0.5000 (multiplicity 1)  12 F 3.14
F: 0.0000 0.0000 0.5000 (multiplicity 3)  2 Ag 2.22

***

Here is a relaxed structure of Ag2Bi2F from Alexandria. Energies are from PBE-GGA.

Properties
ΔE to the lowest computed polymorph in eV/atom: 0.061
Size of the total moment in Bohr magnetons per cell: 0.000
E_form (uncorrected) in eV/atom: -0.207

abc: 5.8173 5.8173 7.1412
angles: 90.00 90.00 90.00
Last column: nearest neighbours and their distance in Å.
Space group I4/mmm (No. 139)
Inequivalent atoms, fractional coordinates:
Ag: 0.0000 0.0000 0.1853 (multiplicity 4)  1 F 2.25
Bi: 0.0000 0.5000 0.2500 (multiplicity 4)  4 Ag 2.95
F: 0.0000 0.0000 0.5000 (multiplicity 2)  2 Ag 2.25

***

Here is a relaxed structure of AgBi3F from Alexandria. Energies are from PBE-GGA.

Properties
ΔE to the lowest computed polymorph in eV/atom: 0.389
Size of the total moment in Bohr magnetons per cell: 0.000
E_form (uncorrected) in eV/atom: 0.281

abc: 5.5039 5.5039 5.5039
angles: 90.00 90.00 90.00
Last column: nearest neighbours and their distance in Å.
Space group Pm-3m (No. 221)
Inequivalent atoms, fractional coordinates:
Ag: 0.0000 0.0000 0.0000 (multiplicity 1)  6 Bi 2.75
Bi: 0.0000 0.0000 0.5000 (multiplicity 3)  2 Ag 2.75
F: 0.5000 0.5000 0.5000 (multiplicity 1)  12 Bi 3.89

***

Here is a relaxed structure of AgBiF6 from Alexandria. Energies are from PBE-GGA.

Properties
Size of the total moment in Bohr magnetons per cell: 0.000
E_form (uncorrected) in eV/atom: -1.741

abc: 5.6069 5.6069 10.6080
angles: 90.00 90.00 120.00
Last column: nearest neighbours and their distance in Å.
Space group P-31c (No. 163)
Inequivalent atoms, fractional coordinates:
Ag: 0.3333 0.6667 0.2500 (multiplicity 2)  6 F 2.28
Bi: 0.0000 0.0000 0.0000 (multiplicity 2)  6 F 2.12
F: 0.0430 0.3253 0.1171 (multiplicity 12)  1 Bi 2.12, 1 Ag 2.28

***

Here is a relaxed structure of AgBi2F4 from Alexandria. Energies are from PBE-GGA.

Properties
Size of the total moment in Bohr magnetons per cell: 0.000
E_form (uncorrected) in eV/atom: -1.097

abc: 4.4242 4.4242 14.5199
angles: 90.00 90.00 90.00
Last column: nearest neighbours and their distance in Å.
Space group I4/mmm (No. 139)
Inequivalent atoms, fractional coordinates:
Ag: 0.0000 0.0000 0.0000 (multiplicity 2)  4 F 2.21
Bi: 0.0000 0.0000 0.3625 (multiplicity 4)  1 F 2.15
F: 0.0000 0.0000 0.2147 (multiplicity 4)  1 Bi 2.15
F: 0.0000 0.5000 0.0000 (multiplicity 4)  2 Ag 2.21

***

Here is a relaxed structure of AgBiF3 from Alexandria. Energies are from PBE-GGA.

Properties
ΔE to the lowest computed polymorph in eV/atom: 0.000
Size of the total moment in Bohr magnetons per cell: 0.000
E_form (uncorrected) in eV/atom: -1.476

abc: 4.6226 4.6226 4.6226
angles: 90.00 90.00 90.00
Last column: nearest neighbours and their distance in Å.
Space group Pm-3m (No. 221)
Inequivalent atoms, fractional coordinates:
Ag: 0.0000 0.0000 0.0000 (multiplicity 1)  12 F 3.27
Bi: 0.5000 0.5000 0.5000 (multiplicity 1)  6 F 2.31
F: 0.0000 0.5000 0.5000 (multiplicity 3)  2 Bi 2.31

***

Here is a relaxed structure of AgBiF2 from Alexandria. Energies are from PBE-GGA.

Properties
ΔE to the lowest computed polymorph in eV/atom: 0.000
Size of the total moment in Bohr magnetons per cell: 0.002
E_form (uncorrected) in eV/atom: -1.194

abc: 3.4906 3.4906 22.8683
angles: 90.00 90.00 120.00
Last column: nearest neighbours and their distance in Å.
Space group R-3m (No. 166, hexagonal axes)
Inequivalent atoms, fractional coordinates:
Ag: 0.0000 0.0000 0.0000 (multiplicity 3)  6 F 2.52
Bi: 0.0000 0.0000 0.5000 (multiplicity 3)  2 F 2.30
F: 0.0000 0.0000 0.3995 (multiplicity 6)  1 Bi 2.30, 3 Ag 2.52

***

Here is a relaxed structure of Ag2Bi2F from Alexandria. Energies are from PBE-GGA.

Properties
ΔE to the lowest computed polymorph in eV/atom: 0.000
Size of the total moment in Bohr magnetons per cell: 0.000
E_form (uncorrected) in eV/atom: -0.268

abc: 6.6465 6.6465 5.0396
angles: 90.00 90.00 90.00
Last column: nearest neighbours and their distance in Å.
Space group P4/mbm (No. 127)
Inequivalent atoms, fractional coordinates:
Ag: 0.1468 0.3532 0.0000 (multiplicity 4)  2 F 2.54, 1 Ag 2.76
Bi: 0.1798 0.6798 0.5000 (multiplicity 4)  6 Ag 3.00-3.33
F: 0.0000 0.0000 0.0000 (multiplicity 2)  4 Ag 2.54